No. 1
The following is a SCAN calculation of ScCo3C at its PBEsol-relaxed geometry, from the Alexandria database.

Output
For the energy relative to the elements, the calculation gives 2.81 eV per atom.

Geometry as CIF:
```
data_ScCo3C
_chemical_formula_sum 'Sc1 Co3 C1'
_cell_length_a 4.259
_cell_length_b 4.259
_cell_length_c 4.259
_cell_angle_alpha 90.00
_cell_angle_beta 90.00
_cell_angle_gamma 90.00
_symmetry_space_group_name_H-M 'P m -3 m'
_symmetry_Int_Tables_number 221
_symmetry_space_group_name_Hall '-P 4 2 3'
loop_
_atom_site_label
_atom_site_fract_x
_atom_site_fract_y
_atom_site_fract_z
_atom_site_occupancy
Sc1 0.000 0.000 0.000 1
Co1 0.000 0.000 0.500 1
C1 0.500 0.500 0.500 1
```

---

No. 2
The following is a SCAN calculation of TaMn2Mo at its PBEsol-relaxed geometry, from the Alexandria database.

Output
For the energy relative to the elements, the calculation gives 0.08 eV per atom.

Geometry as CIF:
```
data_TaMn2Mo
_chemical_formula_sum 'Ta2 Mn4 Mo2'
_cell_length_a 5.315
_cell_length_b 8.121
_cell_length_c 2.677
_cell_angle_alpha 90.00
_cell_angle_beta 109.35
_cell_angle_gamma 90.00
_symmetry_space_group_name_H-M 'C 1 2/m 1'
_symmetry_Int_Tables_number 12
_symmetry_space_group_name_Hall '-C 2y'
loop_
_atom_site_label
_atom_site_fract_x
_atom_site_fract_y
_atom_site_fract_z
_atom_site_occupancy
Ta1 0.000 0.000 0.000 1
Mn1 0.250 0.250 0.500 1
Mo1 0.000 0.500 0.000 1
```

---

No. 3
The following is a SCAN calculation of LiAlS2Cl at its PBEsol-relaxed geometry, from the Alexandria database.

Output
Its energy relative to the elements, uncorrected is 0.073 eV per atom.

Geometry as CIF:
```
data_LiAlS2Cl
_chemical_formula_sum 'Li1 Al1 S2 Cl1'
_cell_length_a 4.430
_cell_length_b 4.430
_cell_length_c 4.424
_cell_angle_alpha 90.00
_cell_angle_beta 90.00
_cell_angle_gamma 90.00
_symmetry_space_group_name_H-M 'P 4/m m m'
_symmetry_Int_Tables_number 123
_symmetry_space_group_name_Hall '-P 4 2'
loop_
_atom_site_label
_atom_site_fract_x
_atom_site_fract_y
_atom_site_fract_z
_atom_site_occupancy
Li1 0.000 0.000 0.000 1
Al1 0.500 0.500 0.500 1
S1 0.000 0.500 0.000 1
Cl1 0.000 0.000 0.500 1
```

---

No. 4
The following is a SCAN calculation of Al2NiOs at its PBEsol-relaxed geometry, from the Alexandria database.

Output
For the energy relative to the elements, the calculation gives -0.73 eV per atom.

Geometry as CIF:
```
data_Al2NiOs
_chemical_formula_sum 'Al4 Ni2 Os2'
_cell_length_a 4.150
_cell_length_b 4.150
_cell_length_c 5.884
_cell_angle_alpha 90.00
_cell_angle_beta 90.00
_cell_angle_gamma 90.00
_symmetry_space_group_name_H-M 'I 4/m m m'
_symmetry_Int_Tables_number 139
_symmetry_space_group_name_Hall '-I 4 2'
loop_
_atom_site_label
_atom_site_fract_x
_atom_site_fract_y
_atom_site_fract_z
_atom_site_occupancy
Al1 0.000 0.500 0.250 1
Ni1 0.000 0.000 0.000 1
Os1 0.000 0.000 0.500 1
```

---

No. 5
The following is a SCAN calculation of CoAgTeN2 at its PBEsol-relaxed geometry, from the Alexandria database.

Output
Its energy relative to the elements, uncorrected is 1.102 eV per atom.

Geometry as CIF:
```
data_CoAgTeN2
_chemical_formula_sum 'Co1 Ag1 Te1 N2'
_cell_length_a 3.693
_cell_length_b 3.693
_cell_length_c 5.406
_cell_angle_alpha 90.00
_cell_angle_beta 90.00
_cell_angle_gamma 90.00
_symmetry_space_group_name_H-M 'P 4/m m m'
_symmetry_Int_Tables_number 123
_symmetry_space_group_name_Hall '-P 4 2'
loop_
_atom_site_label
_atom_site_fract_x
_atom_site_fract_y
_atom_site_fract_z
_atom_site_occupancy
Co1 0.000 0.000 0.000 1
Ag1 0.500 0.500 0.500 1
Te1 0.000 0.000 0.500 1
N1 0.000 0.500 0.000 1
```

---

No. 6
The following is a SCAN calculation of HfSc2Ga2 at its PBEsol-relaxed geometry, from the Alexandria database.

Output
For the energy relative to the elements, the calculation gives -0.52 eV per atom.

Geometry as CIF:
```
data_HfSc2Ga2
_chemical_formula_sum 'Hf2 Sc4 Ga4'
_cell_length_a 7.490
_cell_length_b 7.490
_cell_length_c 3.416
_cell_angle_alpha 90.00
_cell_angle_beta 90.00
_cell_angle_gamma 90.00
_symmetry_space_group_name_H-M 'P 4/m b m'
_symmetry_Int_Tables_number 127
_symmetry_space_group_name_Hall '-P 4 2ab'
loop_
_atom_site_label
_atom_site_fract_x
_atom_site_fract_y
_atom_site_fract_z
_atom_site_occupancy
Hf1 0.000 0.000 0.000 1
Sc1 0.177 0.323 0.500 1
Ga1 0.123 0.623 0.000 1
```

---

| no. | total magnetization (μB/f.u.) | energy (eV per atom) | density of states at the Fermi level (states/eV per atom) |
| --- | --- | --- | --- |
| 1 | 3.40 | -12.443 | 0.695 |
| 2 | 2.75 | -34.417 | 0.988 |
| 3 | 0.00 | -7.403 | 0.700 |
| 4 | 0.20 | -26.615 | 0.344 |
| 5 | 0.01 | -19.799 | 0.663 |
| 6 | 0.00 | -25.290 | 1.187 |